# 1
An optimized crystal structure of Fe2PdRh2, computed with GGA-PBE.

Results
- Magnetic moment: 7.020 μB/cell
- Space group: C2/m (12)
- Energy: -6.974 eV per atom
- Formation energy: 0.3901 eV/atom
- Relative energy among the computed polymorphs: 306 meV per atom

abc: 4.229 4.229 4.881
angles: 89.89 89.89 115.25
Site moments in Bohr magnetons follow the coordinates.
Fractional positions:
Fe 0.499 0.499 0.257  2.97
Fe 0.501 0.501 0.743  2.97
Pd 0.000 0.000 0.000  0.28
Rh 0.826 0.174 0.500  0.38
Rh 0.174 0.826 0.500  0.38

=====

# 2
An optimized crystal structure of Li8TlBi2, computed with GGA-PBE.

Results
- Magnetic moment: 0.000 μB/cell
- Space group: C2/m (12)
- Energy: -2.714 eV per atom
- Formation energy: -0.4011 eV/atom

abc: 4.673 7.865 7.639
angles: 121.11 107.81 90.00
Fractional positions:
Li 0.151 0.160 0.303
Li 0.656 0.863 0.312
Li 0.344 0.137 0.688
Li 0.849 0.840 0.697
Li 0.002 0.701 0.005
Li 0.652 0.445 0.303
Li 0.348 0.555 0.697
Li 0.998 0.299 0.995
Bi 0.200 0.698 0.401
Bi 0.800 0.302 0.599
Tl 0.500 0.000 0.000

=====

# 3
An optimized crystal structure of AsPdSe, computed with GGA-PBE.

Results
- Magnetic moment: 0.000 μB/cell
- Space group: P2_1/c (14)
- Energy: -4.784 eV per atom

abc: 6.151 6.378 6.382
angles: 102.10 90.00 90.00
Fractional positions:
Pd 0.994 0.751 0.745
Pd 0.006 0.249 0.255
Pd 0.506 0.251 0.745
Pd 0.494 0.749 0.255
Se 0.385 0.658 0.846
Se 0.115 0.158 0.846
Se 0.885 0.842 0.154
Se 0.615 0.342 0.154
As 0.379 0.141 0.359
As 0.621 0.859 0.641
As 0.879 0.359 0.641
As 0.121 0.641 0.359

=====

# 4
An optimized crystal structure of Re2PbCl, computed with GGA-PBE.

Results
- Magnetic moment: 0.000 μB/cell
- Space group: I-42d (122)
- Energy: -5.790 eV per atom
- Relative energy among the computed polymorphs: 1685 meV per atom

abc: 6.176 6.176 6.363
angles: 60.97 60.97 90.00
Fractional positions:
Cl 0.250 0.750 0.500
Cl 0.500 0.500 0.000
Re 0.552 0.125 0.250
Re 0.875 0.802 0.750
Re 0.375 0.448 0.750
Re 0.198 0.625 0.250
Pb 0.750 0.250 0.500
Pb 0.000 0.000 0.000

=====

# 5
An optimized crystal structure of FeIr2Pt2Rh5, computed with GGA-PBE.

Results
- Magnetic moment: 6.719 μB/cell
- Space group: P4/mbm (127)
- Energy: -7.221 eV per atom
- Formation energy: 0.2815 eV/atom

abc: 3.799 9.030 9.030
angles: 90.00 90.00 90.00
Site moments in Bohr magnetons follow the coordinates.
Fractional positions:
Rh 0.500 0.493 0.298  0.10
Rh 0.500 0.798 0.993  0.10
Rh 0.500 0.993 0.202  0.10
Rh 0.500 0.000 0.500  0.05
Rh 0.500 0.507 0.702  0.10
Rh 0.500 0.007 0.798  0.10
Rh 0.500 0.702 0.493  0.10
Rh 0.500 0.298 0.507  0.10
Rh 0.500 0.500 0.000  0.05
Rh 0.500 0.202 0.007  0.10
Pt 0.000 0.655 0.155  0.00
Pt 0.000 0.345 0.845  0.00
Pt 0.000 0.155 0.345  0.00
Pt 0.000 0.845 0.655  0.00
Ir 0.000 0.646 0.854  -0.08
Ir 0.000 0.354 0.146  -0.08
Ir 0.000 0.146 0.646  -0.08
Ir 0.000 0.854 0.354  -0.08
Fe 0.000 0.500 0.500  3.03
Fe 0.000 0.000 0.000  3.03

=====

# 6
An optimized crystal structure of NaNd5S8, computed with GGA-PBE.

Results
- Magnetic moment: 0.000 μB/cell
- Space group: I-4 (82)
- Energy: -6.142 eV per atom

abc: 7.444 7.444 7.444
angles: 109.50 109.42 109.50
Fractional positions:
Na 0.250 0.500 0.750
Nd 0.369 0.117 0.991
Nd 0.500 0.000 0.500
Nd 0.748 0.622 0.631
Nd 0.009 0.378 0.126
Nd 0.874 0.883 0.252
S 0.759 0.245 0.364
S 0.626 0.902 0.874
S 0.486 0.606 0.241
S 0.120 0.755 0.514
S 0.276 0.248 0.374
S 0.126 0.752 0.028
S 0.972 0.098 0.724
S 0.636 0.394 0.880

=====

# 7
An optimized crystal structure of Al6Pb, computed with GGA-PBE.

Results
- Magnetic moment: 0.000 μB/cell
- Space group: Im-3m (229)
- Energy: -3.088 eV per atom
- Formation energy: 0.6496 eV/atom

abc: 6.305 6.305 6.305
angles: 109.47 109.47 109.47
Fractional positions:
Al 0.750 0.250 0.500
Al 0.250 0.500 0.750
Al 0.500 0.750 0.250
Al 0.250 0.750 0.500
Al 0.750 0.500 0.250
Al 0.500 0.250 0.750
Pb 0.000 0.000 0.000

=====

# 8
An optimized crystal structure of BiP2RhS, computed with GGA-PBE.

Results
- Magnetic moment: 1.083 μB/cell
- Space group: P4/mmm (123)
- Energy: -3.573 eV per atom
- Relative energy among the computed polymorphs: 1302 meV per atom

abc: 5.194 5.194 5.108
angles: 90.00 90.00 90.00
Site moments in Bohr magnetons follow the coordinates.
Fractional positions:
Bi 0.000 0.000 0.000  0.00
Rh 0.500 0.500 0.500  1.23
P 0.000 0.500 0.000  -0.07
P 0.500 0.000 0.000  -0.07
S 0.000 0.000 0.500  0.05

=====

# 9
An optimized crystal structure of La2PrTmTl2, computed with GGA-PBE.

Results
- Magnetic moment: 0.000 μB/cell
- Space group: Pmc2_1 (26)
- Energy: -4.256 eV per atom
- Formation energy: -0.2827 eV/atom

abc: 5.183 7.071 10.317
angles: 90.00 90.00 90.00
Fractional positions:
Tl 0.500 0.729 0.613
Tl 0.000 0.792 0.149
Tl 0.500 0.229 0.387
Tl 0.000 0.292 0.851
La 0.000 0.318 0.175
La 0.500 0.578 0.938
La 0.000 0.818 0.825
La 0.500 0.078 0.062
Pr 0.000 0.961 0.454
Pr 0.000 0.461 0.546
Tm 0.500 0.667 0.305
Tm 0.500 0.167 0.695

=====

# 10
An optimized crystal structure of La3Nd2Mg2, computed with GGA-PBE.

Results
- Magnetic moment: 0.056 μB/cell
- Space group: Cmmm (65)
- Energy: -3.888 eV per atom
- Formation energy: 0.0412 eV/atom

abc: 15.974 15.974 3.812
angles: 90.00 90.00 166.13
Fractional positions:
La 0.578 0.422 0.500
La 0.422 0.578 0.500
La 0.000 0.000 0.000
Mg 0.144 0.856 0.000
Mg 0.856 0.144 0.000
Nd 0.706 0.294 0.500
Nd 0.294 0.706 0.500

=====

# 11
An optimized crystal structure of AlSbOs2, computed with GGA-PBE.

Results
- Magnetic moment: 0.000 μB/cell
- Space group: I-4m2 (119)
- Energy: -7.196 eV per atom
- Relative energy among the computed polymorphs: 312 meV per atom

abc: 5.066 5.066 5.066
angles: 135.32 135.32 65.03
Fractional positions:
Os 0.250 0.750 0.500
Os 0.000 0.000 0.000
Sb 0.500 0.500 0.000
Al 0.750 0.250 0.500

=====

# 12
An optimized crystal structure of NaTi2H, computed with GGA-PBE.

Results
- Magnetic moment: 0.000 μB/cell
- Space group: Fm-3m (225)
- Energy: -3.927 eV per atom
- Relative energy among the computed polymorphs: 1001 meV per atom

abc: 4.456 4.456 4.456
angles: 60.00 60.00 60.00
Fractional positions:
H 0.000 0.000 0.000
Na 0.500 0.500 0.500
Ti 0.750 0.750 0.750
Ti 0.250 0.250 0.250